The following is a DFT calculation (PBE-GGA) of a geometry-optimized KAg2Pd2 structure.

Cell: 8.3644 8.3644 2.8603 Å, 90.00 90.00 90.00°
Fractional positions:
K1 0.0000 0.0000 0.0000
K2 0.5000 0.5000 0.0000
Ag1 0.1250 0.3750 0.0000
Ag2 0.3750 0.8750 0.0000
Ag3 0.6250 0.1250 0.0000
Ag4 0.8750 0.6250 0.0000
Pd1 0.1680 0.6680 0.5000
Pd2 0.3320 0.1680 0.5000
Pd3 0.6680 0.8320 0.5000
Pd4 0.8320 0.3320 0.5000

Values from the calculation:
E above lowest polymorph in eV per atom: 0.013
ΔH_f (0 K) in meV per atom: 17.4